Entry 1:
## ZnSnBi (PBE)

Data for ZnSnBi after structural relaxation.

Output
space group: P2_1/m, No. 11
polymorph energy (0 for the lowest one): 8.3 meV/atom
DFT total energy: -2.937 eV per atom
DOS(E_F): 0.356 states/eV per atom

```
ZnSnBi
1.0
5.7766 0.0000 0.0000
0.0000 4.3661 0.0000
-2.6768 0.0000 6.4152
Zn Sn Bi
2 2 2
Direct
0.1640 0.2500 0.2957
0.8360 0.7500 0.7043
0.2598 0.7500 0.5857
0.7402 0.2500 0.4143
0.3105 0.7500 0.0861
0.6895 0.2500 0.9139
```


Entry 2:
## Zn3SnBi (PBE)

Data for Zn3SnBi after structural relaxation.

Output
space group: Pm-3m, No. 221
polymorph energy (0 for the lowest one): 0.0 meV/atom
DFT total energy: -1.824 eV per atom
DOS(E_F): 0.959 states/eV per atom

```
Zn3SnBi
1.0
5.1637 0.0000 0.0000
0.0000 5.1637 0.0000
0.0000 0.0000 5.1637
Zn Sn Bi
3 1 1
Direct
0.0000 0.0000 0.5000
0.0000 0.5000 0.0000
0.5000 0.0000 0.0000
0.0000 0.0000 0.0000
0.5000 0.5000 0.5000
```


Entry 3:
## ZnSn3Bi (PBE)

Data for ZnSn3Bi after structural relaxation.

Output
space group: Pm-3m, No. 221
polymorph energy (0 for the lowest one): 578.8 meV/atom
DFT total energy: -2.570 eV per atom
DOS(E_F): 0.910 states/eV per atom

```
ZnSn3Bi
1.0
5.9628 0.0000 0.0000
0.0000 5.9628 0.0000
0.0000 0.0000 5.9628
Zn Sn Bi
1 3 1
Direct
0.0000 0.0000 0.0000
0.0000 0.5000 0.5000
0.5000 0.0000 0.5000
0.5000 0.5000 0.0000
0.5000 0.5000 0.5000
```


Entry 4:
## ZnSnBi (PBE)

Data for ZnSnBi after structural relaxation.

Output
space group: P3m1, No. 156
polymorph energy (0 for the lowest one): 21.0 meV/atom
DFT total energy: -2.924 eV per atom
DOS(E_F): 0.591 states/eV per atom

```
ZnSnBi
1.0
4.2713 0.0000 0.0000
-2.1356 3.6990 0.0000
0.0000 0.0000 5.0926
Zn Sn Bi
1 1 1
Direct
0.0000 0.0000 0.0000
0.6667 0.3333 0.2878
0.3333 0.6667 0.6837
```


Entry 5:
## Zn12Sn3Bi5 (PBE)

Data for Zn12Sn3Bi5 after structural relaxation.

Output
space group: Ia-3d, No. 230
DFT total energy: -2.160 eV per atom
DOS(E_F): 0.435 states/eV per atom

```
Zn12Sn3Bi5
1.0
-8.0688 8.0688 8.0688
8.0688 -8.0688 8.0688
8.0688 8.0688 -8.0688
Zn Sn Bi
48 12 20
Direct
0.0691 0.2398 0.1387
0.0691 0.3293 0.9304
0.0696 0.6387 0.3989
0.0696 0.9309 0.6707
0.1011 0.7398 0.6707
0.1011 0.8613 0.4304
0.1387 0.0691 0.2398
0.1387 0.5696 0.8989
0.1707 0.2398 0.6011
0.1707 0.4309 0.5696
0.2398 0.1387 0.0691
0.2398 0.6011 0.1707
0.2602 0.3293 0.8989
0.2602 0.4309 0.3613
0.3293 0.8989 0.2602
0.3293 0.9304 0.0691
0.3613 0.2602 0.4309
0.3613 0.6011 0.9304
0.3989 0.0696 0.6387
0.3989 0.8293 0.7602
0.4304 0.1011 0.8613
0.4304 0.8293 0.5691
0.4309 0.3613 0.2602
0.4309 0.5696 0.1707
0.5691 0.4304 0.8293
0.5691 0.6387 0.7398
0.5696 0.1707 0.4309
0.5696 0.8989 0.1387
0.6011 0.1707 0.2398
0.6011 0.9304 0.3613
0.6387 0.3989 0.0696
0.6387 0.7398 0.5691
0.6707 0.0696 0.9309
0.6707 0.1011 0.7398
0.7398 0.5691 0.6387
0.7398 0.6707 0.1011
0.7602 0.3989 0.8293
0.7602 0.8613 0.9309
0.8293 0.5691 0.4304
0.8293 0.7602 0.3989
0.8613 0.4304 0.1011
0.8613 0.9309 0.7602
0.8989 0.1387 0.5696
0.8989 0.2602 0.3293
0.9304 0.0691 0.3293
0.9304 0.3613 0.6011
0.9309 0.6707 0.0696
0.9309 0.7602 0.8613
0.1250 0.2500 0.3750
0.1250 0.3750 0.7500
0.2500 0.3750 0.1250
0.2500 0.8750 0.6250
0.3750 0.1250 0.2500
0.3750 0.7500 0.1250
0.6250 0.2500 0.8750
0.6250 0.8750 0.7500
0.7500 0.1250 0.3750
0.7500 0.6250 0.8750
0.8750 0.6250 0.2500
0.8750 0.7500 0.6250
0.0000 0.0000 0.0000
0.0000 0.0000 0.5000
0.0000 0.5000 0.0000
0.0000 0.5000 0.5000
0.1250 0.7500 0.8750
0.1250 0.8750 0.2500
0.2500 0.1250 0.8750
0.2500 0.6250 0.3750
0.3750 0.2500 0.6250
0.3750 0.6250 0.7500
0.5000 0.0000 0.0000
0.5000 0.0000 0.5000
0.5000 0.5000 0.0000
0.5000 0.5000 0.5000
0.6250 0.3750 0.2500
0.6250 0.7500 0.3750
0.7500 0.3750 0.6250
0.7500 0.8750 0.1250
0.8750 0.1250 0.7500
0.8750 0.2500 0.1250
```


Entry 6:
## Zn2Sn4Bi (PBE)

Data for Zn2Sn4Bi after structural relaxation.

Output
space group: I4/mmm, No. 139
DFT total energy: -2.680 eV per atom
DOS(E_F): 0.524 states/eV per atom

```
Zn2Sn4Bi
1.0
-2.9096 2.9096 6.9270
2.9096 -2.9096 6.9270
2.9096 2.9096 -6.9270
Zn Sn Bi
2 4 1
Direct
0.0868 0.0868 0.0000
0.9132 0.9132 0.0000
0.0000 0.5000 0.5000
0.2744 0.2744 0.0000
0.5000 0.0000 0.5000
0.7256 0.7256 0.0000
0.5000 0.5000 0.0000
```


Entry 7:
## ZnSnBi2 (PBE)

Data for ZnSnBi2 after structural relaxation.

Output
space group: R-3m, No. 166
DFT total energy: -3.080 eV per atom
DOS(E_F): 0.231 states/eV per atom

```
ZnSnBi2
1.0
1.7056 0.9847 11.6331
-1.7056 0.9847 11.6331
0.0000 -1.9695 11.6331
Zn Sn Bi
1 1 2
Direct
0.0000 0.0000 0.0000
0.5000 0.5000 0.5000
0.0807 0.0807 0.0807
0.9193 0.9193 0.9193
```


Entry 8:
## ZnSn3Bi (PBE)

Data for ZnSn3Bi after structural relaxation.

Output
space group: Pm-3m, No. 221
polymorph energy (0 for the lowest one): 0.0 meV/atom
DFT total energy: -3.149 eV per atom
DOS(E_F): 0.457 states/eV per atom

```
ZnSn3Bi
1.0
5.2729 0.0000 0.0000
0.0000 5.2729 0.0000
0.0000 0.0000 5.2729
Zn Sn Bi
1 3 1
Direct
0.0000 0.0000 0.0000
0.0000 0.0000 0.5000
0.0000 0.5000 0.0000
0.5000 0.0000 0.0000
0.5000 0.5000 0.5000
```


Entry 9:
## Zn3Sn12Bi5 (PBE)

Data for Zn3Sn12Bi5 after structural relaxation.

Output
space group: Ia-3d, No. 230
DFT total energy: -3.387 eV per atom
DOS(E_F): 0.477 states/eV per atom

```
Zn3Sn12Bi5
1.0
-8.7364 8.7364 8.7364
8.7364 -8.7364 8.7364
8.7364 8.7364 -8.7364
Zn Sn Bi
12 48 20
Direct
0.1250 0.2500 0.3750
0.1250 0.3750 0.7500
0.2500 0.3750 0.1250
0.2500 0.8750 0.6250
0.3750 0.1250 0.2500
0.3750 0.7500 0.1250
0.6250 0.2500 0.8750
0.6250 0.8750 0.7500
0.7500 0.1250 0.3750
0.7500 0.6250 0.8750
0.8750 0.6250 0.2500
0.8750 0.7500 0.6250
0.0561 0.6334 0.3864
0.0561 0.9227 0.6697
0.0773 0.2470 0.1334
0.0773 0.3303 0.9439
0.1136 0.7470 0.6697
0.1136 0.8666 0.4439
0.1334 0.0773 0.2470
0.1334 0.5561 0.8864
0.1697 0.2470 0.6136
0.1697 0.4227 0.5561
0.2470 0.1334 0.0773
0.2470 0.6136 0.1697
0.2530 0.3303 0.8864
0.2530 0.4227 0.3666
0.3303 0.8864 0.2530
0.3303 0.9439 0.0773
0.3666 0.2530 0.4227
0.3666 0.6136 0.9439
0.3864 0.0561 0.6334
0.3864 0.8303 0.7530
0.4227 0.3666 0.2530
0.4227 0.5561 0.1697
0.4439 0.1136 0.8666
0.4439 0.8303 0.5773
0.5561 0.1697 0.4227
0.5561 0.8864 0.1334
0.5773 0.4439 0.8303
0.5773 0.6334 0.7470
0.6136 0.1697 0.2470
0.6136 0.9439 0.3666
0.6334 0.3864 0.0561
0.6334 0.7470 0.5773
0.6697 0.0561 0.9227
0.6697 0.1136 0.7470
0.7470 0.5773 0.6334
0.7470 0.6697 0.1136
0.7530 0.3864 0.8303
0.7530 0.8666 0.9227
0.8303 0.5773 0.4439
0.8303 0.7530 0.3864
0.8666 0.4439 0.1136
0.8666 0.9227 0.7530
0.8864 0.1334 0.5561
0.8864 0.2530 0.3303
0.9227 0.6697 0.0561
0.9227 0.7530 0.8666
0.9439 0.0773 0.3303
0.9439 0.3666 0.6136
0.0000 0.0000 0.0000
0.0000 0.0000 0.5000
0.0000 0.5000 0.0000
0.0000 0.5000 0.5000
0.1250 0.7500 0.8750
0.1250 0.8750 0.2500
0.2500 0.1250 0.8750
0.2500 0.6250 0.3750
0.3750 0.2500 0.6250
0.3750 0.6250 0.7500
0.5000 0.0000 0.0000
0.5000 0.0000 0.5000
0.5000 0.5000 0.0000
0.5000 0.5000 0.5000
0.6250 0.3750 0.2500
0.6250 0.7500 0.3750
0.7500 0.3750 0.6250
0.7500 0.8750 0.1250
0.8750 0.1250 0.7500
0.8750 0.2500 0.1250
```


Entry 10:
## Zn2SnBi2 (PBE)

Data for Zn2SnBi2 after structural relaxation.

Output
space group: I4/mmm, No. 139
polymorph energy (0 for the lowest one): 80.0 meV/atom
DFT total energy: -2.645 eV per atom
DOS(E_F): 0.358 states/eV per atom

```
Zn2SnBi2
1.0
-2.3779 2.3779 5.9963
2.3779 -2.3779 5.9963
2.3779 2.3779 -5.9963
Zn Sn Bi
2 1 2
Direct
0.0995 0.0995 0.0000
0.9005 0.9005 0.0000
0.5000 0.5000 0.0000
0.2500 0.7500 0.5000
0.7500 0.2500 0.5000
```


Entry 11:
## Zn4SnBi (PBE)

Data for Zn4SnBi after structural relaxation.

Output
space group: F-43m, No. 216
DFT total energy: -2.017 eV per atom
DOS(E_F): 0.765 states/eV per atom

```
Zn4SnBi
1.0
0.0000 3.9452 3.9452
3.9452 0.0000 3.9452
3.9452 3.9452 0.0000
Zn Sn Bi
4 1 1
Direct
0.3756 0.3756 0.3756
0.3756 0.3756 0.8731
0.3756 0.8731 0.3756
0.8731 0.3756 0.3756
0.7500 0.7500 0.7500
0.0000 0.0000 0.0000
```


Entry 12:
## ZnSnBi (PBE)

Data for ZnSnBi after structural relaxation.

Output
space group: F-43m, No. 216
polymorph energy (0 for the lowest one): 0.0 meV/atom
DFT total energy: -2.945 eV per atom
DOS(E_F): 0.454 states/eV per atom

```
ZnSnBi
1.0
0.0000 3.4787 3.4787
3.4787 0.0000 3.4787
3.4787 3.4787 0.0000
Zn Sn Bi
1 1 1
Direct
0.0000 0.0000 0.0000
0.2500 0.2500 0.2500
0.7500 0.7500 0.7500
```


For the records above, the corresponding ΔH_f (0 K) values read 0.347 2.587 4.315 0.385 3.505 3.681 0.719 1.421 3.515 1.088 0.878 0.322 eV per formula unit.